Sm4Te5Au after structural relaxation, computed with PBE.

POSCAR file:
```
Sm4Te5Au
1.0
9.6977 -2.1834 0.0000
9.6977 2.1834 0.0000
-2.5329 0.0000 8.7898
Sm Te Au
4 5 1
direct
0.0024 0.0024 0.2604 Sm
0.3266 0.3266 0.9028 Sm
0.6734 0.6734 0.0972 Sm
0.9976 0.9976 0.7396 Sm
0.1629 0.1629 0.3258 Te
0.1632 0.1632 0.8423 Te
0.5000 0.5000 0.5000 Te
0.8368 0.8368 0.1577 Te
0.8371 0.8371 0.6742 Te
0.5000 0.5000 0.0000 Au
```

## Properties
The total moment comes out at 0.000 μB per atom. The calculation puts the raw total energy at -4.927 eV per atom. The calculation puts the formation energy from raw total energies at -1141 meV/atom.